# 1
Compound: AlCuSb
Source: Alexandria
Functional: PBE
Structure: relaxed

Cell lengths 4.4461, 4.5641, 6.2742 Å; angles 78.25, 80.58, 83.59 degrees
Fractional positions:
Cu1 0.2473 0.1249 0.4388
Cu2 0.7527 0.8751 0.5612
Al1 0.7427 0.3052 0.2455
Al2 0.2573 0.6948 0.7545
Sb1 0.8126 0.3001 0.7941
Sb2 0.1874 0.6999 0.2059

Crystal system   triclinic
Mass density   5.8 Mg/m³
E above lowest polymorph   0.0 kJ/mol of formula units
Uncorrected formation energy   5 meV per atom
E_tot   -0.293 Ry/atom

# 2
Compound: CaPrHo2Te4
Source: Alexandria
Functional: PBE
Structure: relaxed

Cell lengths 4.3864, 7.7061, 7.6638 Å; angles 108.95, 90.00, 90.00 degrees
Fractional positions:
Ho1 0.5000 0.0000 0.5000
Ho2 0.0000 0.5000 0.5000
Ca1 0.5000 0.5000 0.0000
Te1 0.5000 0.7413 0.7379
Te2 0.0000 0.2510 0.7404
Te3 0.0000 0.7490 0.2596
Te4 0.5000 0.2587 0.2621
Pr1 0.0000 0.0000 0.0000

Crystal system   monoclinic
Mass density   6.9 Mg/m³
Uncorrected formation energy   -1387 meV per atom
E_tot   -0.364 Ry/atom

# 3
Compound: BeAlTe2
Source: Alexandria
Functional: PBE
Structure: relaxed

Cell lengths 6.0362, 6.0362, 6.0362 Å; angles 143.72, 88.27, 102.94 degrees
Fractional positions:
Te1 0.5203 0.5203 0.0000
Te2 0.9797 0.9797 0.0000
Be1 0.7500 0.2500 0.5000
Al1 0.2500 0.7500 0.5000

Crystal system   orthorhombic
Mass density   3.9 Mg/m³
E above lowest polymorph   110.7 kJ/mol of formula units
Uncorrected formation energy   197 meV per atom
E_tot   -0.238 Ry/atom

# 4
Compound: HfNbAsBr2
Source: Alexandria
Functional: PBE
Structure: relaxed

Cell lengths 5.0176, 5.0176, 5.2281 Å; angles 90.00, 90.00, 90.00 degrees
Each line ends with the local moment (μB).
Fractional positions:
Br1 0.0000 0.5000 0.0000  0.01
Br2 0.5000 0.0000 0.0000  0.01
As1 0.0000 0.0000 0.5000  -0.03
Hf1 0.5000 0.5000 0.5000  0.92
Nb1 0.0000 0.0000 0.0000  0.42

Crystal system   tetragonal
Mass density   6.4 Mg/m³
E above lowest polymorph   75.8 kJ/mol of formula units
Uncorrected formation energy   556 meV per atom
E_tot   -0.371 Ry/atom

What is the uncorrected formation energy in the first record? 5 meV per atom